Below is a geometry-optimized NpSbH structure, with properties calculated at the PBE level.

a = 3.9260 Å, b = 3.9260 Å, c = 8.4714 Å
α = 90.00°, β = 90.00°, γ = 120.00°
Space group P6_3/mmc (No. 194)
One atom of each set of equivalent atoms:
Np  0.3333  0.6667  0.2500 (multiplicity 2)
Sb  0.0000  0.0000  0.0000 (multiplicity 2)
H  0.3333  0.6667  0.7500 (multiplicity 2)

Computed properties:
- raw total energy (eV/cell) = -42.26
- spin magnetization (μB/f.u.) = 3.03